No. 1
# CaAc6Os2 (PBE, optimized geometry)
# Raw total energy   -196.373 eV per cell
# DFT formation energy   0 kJ/mol of atoms
# Magnetization   0.00 μB/f.u.
data_CaAc6Os2
_chemical_formula_sum 'Ca4 Ac24 Os8'
_symmetry_space_group_name_H-M 'I m m m'
_symmetry_Int_Tables_number 71
_symmetry_space_group_name_Hall '-I 2 2'
_cell_length_a 10.563
_cell_length_b 10.952
_cell_length_c 11.159
_cell_angle_alpha 90.00
_cell_angle_beta 90.00
_cell_angle_gamma 90.00
loop_
_atom_site_label
_atom_site_fract_x
_atom_site_fract_y
_atom_site_fract_z
Ca1 0.000 0.000 0.000
Ca2 0.000 0.000 0.500
Ac1 0.000 0.213 0.239
Ac2 0.177 0.500 0.174
Ac3 0.215 0.318 0.500
Os1 0.000 0.307 0.000
Os2 0.000 0.500 0.387


No. 2
# Ca3Ac4Os2 (PBE, optimized geometry)
# Raw total energy   -88.151 eV per cell
# DFT formation energy   9 kJ/mol of atoms
# Magnetization   0.00 μB/f.u.
data_Ca3Ac4Os2
_chemical_formula_sum 'Ca6 Ac8 Os4'
_symmetry_space_group_name_H-M 'C 1 2/m 1'
_symmetry_Int_Tables_number 12
_symmetry_space_group_name_Hall '-C 2y'
_cell_length_a 20.065
_cell_length_b 4.252
_cell_length_c 9.945
_cell_angle_alpha 90.00
_cell_angle_beta 118.46
_cell_angle_gamma 90.00
loop_
_atom_site_label
_atom_site_fract_x
_atom_site_fract_y
_atom_site_fract_z
Ca1 0.000 0.000 0.000
Ca2 0.146 0.500 0.825
Ac1 0.073 0.000 0.430
Ac2 0.207 0.500 0.301
Os1 0.176 0.500 0.574


No. 3
# Ca2Ac5Os2 (PBE, optimized geometry)
# Raw total energy   -187.245 eV per cell
# DFT formation energy   2 kJ/mol of atoms
# Magnetization   0.00 μB/f.u.
data_Ca2Ac5Os2
_chemical_formula_sum 'Ca8 Ac20 Os8'
_symmetry_space_group_name_H-M 'C m c e'
_symmetry_Int_Tables_number 64
_symmetry_space_group_name_Hall '-C 2ac 2'
_cell_length_a 20.355
_cell_length_b 8.219
_cell_length_c 8.253
_cell_angle_alpha 90.00
_cell_angle_beta 90.00
_cell_angle_gamma 90.00
loop_
_atom_site_label
_atom_site_fract_x
_atom_site_fract_y
_atom_site_fract_z
Ca1 0.229 0.000 0.000
Ac1 0.000 0.000 0.000
Ac2 0.096 0.162 0.337
Os1 0.000 0.139 0.639


No. 4
# CaAcOs (PBE, optimized geometry)
# Raw total energy   -135.236 eV per cell
# DFT formation energy   14 kJ/mol of atoms
# Magnetization   0.00 μB/f.u.
data_CaAcOs
_chemical_formula_sum 'Ca8 Ac8 Os8'
_symmetry_space_group_name_H-M 'C m c e'
_symmetry_Int_Tables_number 64
_symmetry_space_group_name_Hall '-C 2ac 2'
_cell_length_a 7.019
_cell_length_b 12.934
_cell_length_c 7.997
_cell_angle_alpha 90.00
_cell_angle_beta 90.00
_cell_angle_gamma 90.00
loop_
_atom_site_label
_atom_site_fract_x
_atom_site_fract_y
_atom_site_fract_z
Ca1 0.250 0.040 0.250
Ac1 0.000 0.200 0.619
Os1 0.000 0.095 0.963


No. 5
# CaAc2PrOs (PBE, optimized geometry)
# Raw total energy   -26.221 eV per cell
# DFT formation energy   0 kJ/mol of atoms
# Magnetization   0.00 μB/f.u.
data_CaAc2PrOs
_chemical_formula_sum 'Ca1 Ac2 Pr1 Os1'
_symmetry_space_group_name_H-M 'P 4/m m m'
_symmetry_Int_Tables_number 123
_symmetry_space_group_name_Hall '-P 4 2'
_cell_length_a 5.914
_cell_length_b 5.914
_cell_length_c 5.727
_cell_angle_alpha 90.00
_cell_angle_beta 90.00
_cell_angle_gamma 90.00
loop_
_atom_site_label
_atom_site_fract_x
_atom_site_fract_y
_atom_site_fract_z
Ca1 0.000 0.000 0.000
Ac1 0.000 0.500 0.500
Pr1 0.500 0.500 0.000
Os1 0.500 0.500 0.500


No. 6
# CaAc3P4 (PBE, optimized geometry)
# Raw total energy   -46.167 eV per cell
# DFT formation energy   -123 kJ/mol of atoms
# Magnetization   0.00 μB/f.u.
data_CaAc3P4
_chemical_formula_sum 'Ca1 Ac3 P4'
_symmetry_space_group_name_H-M 'P m -3 m'
_symmetry_Int_Tables_number 221
_symmetry_space_group_name_Hall '-P 4 2 3'
_cell_length_a 6.206
_cell_length_b 6.206
_cell_length_c 6.206
_cell_angle_alpha 90.00
_cell_angle_beta 90.00
_cell_angle_gamma 90.00
loop_
_atom_site_label
_atom_site_fract_x
_atom_site_fract_y
_atom_site_fract_z
Ca1 0.000 0.000 0.000
Ac1 0.000 0.500 0.500
P1 0.000 0.000 0.500
P2 0.500 0.500 0.500


No. 7
# Ca3AcP (PBE, optimized geometry)
# Raw total energy   -17.198 eV per cell
# DFT formation energy   -32 kJ/mol of atoms
# Magnetization   0.01 μB/f.u.
data_Ca3AcP
_chemical_formula_sum 'Ca3 Ac1 P1'
_symmetry_space_group_name_H-M 'P m -3 m'
_symmetry_Int_Tables_number 221
_symmetry_space_group_name_Hall '-P 4 2 3'
_cell_length_a 5.692
_cell_length_b 5.692
_cell_length_c 5.692
_cell_angle_alpha 90.00
_cell_angle_beta 90.00
_cell_angle_gamma 90.00
loop_
_atom_site_label
_atom_site_fract_x
_atom_site_fract_y
_atom_site_fract_z
Ca1 0.000 0.000 0.500
Ac1 0.500 0.500 0.500
P1 0.000 0.000 0.000


No. 8
# Ca2AcP (PBE, optimized geometry)
# Raw total energy   -15.369 eV per cell
# DFT formation energy   -45 kJ/mol of atoms
# Magnetization   0.00 μB/f.u.
# Energy above the lowest structure with this stoichiometry   0.000 eV/atom
data_Ca2AcP
_chemical_formula_sum 'Ca2 Ac1 P1'
_symmetry_space_group_name_H-M 'P 4/m m m'
_symmetry_Int_Tables_number 123
_symmetry_space_group_name_Hall '-P 4 2'
_cell_length_a 3.703
_cell_length_b 3.703
_cell_length_c 9.460
_cell_angle_alpha 90.00
_cell_angle_beta 90.00
_cell_angle_gamma 90.00
loop_
_atom_site_label
_atom_site_fract_x
_atom_site_fract_y
_atom_site_fract_z
Ca1 0.000 0.000 0.159
Ac1 0.500 0.500 0.500
P1 0.500 0.500 0.000


No. 9
# CaAcP (PBE, optimized geometry)
# Raw total energy   -14.013 eV per cell
# DFT formation energy   -80 kJ/mol of atoms
# Magnetization   0.29 μB/f.u.
# Energy above the lowest structure with this stoichiometry   0.000 eV/atom
data_CaAcP
_chemical_formula_sum 'Ca1 Ac1 P1'
_symmetry_space_group_name_H-M 'P 3 m 1'
_symmetry_Int_Tables_number 156
_symmetry_space_group_name_Hall 'P 3 -2"'
_cell_length_a 4.2508
_cell_length_b 4.2508
_cell_length_c 6.9930
_cell_angle_alpha 90.00
_cell_angle_beta 90.00
_cell_angle_gamma 120.00
loop_
_atom_site_label
_atom_site_fract_x
_atom_site_fract_y
_atom_site_fract_z
Ca1 0.0000 0.0000 0.0000
Ac1 0.3333 0.6667 0.4711
P1 0.6667 0.3333 0.2247


No. 10
# CaAcP (PBE, optimized geometry)
# Raw total energy   -54.751 eV per cell
# DFT formation energy   -70 kJ/mol of atoms
# Magnetization   0.00 μB/f.u.
# Energy above the lowest structure with this stoichiometry   0.108 eV/atom
data_CaAcP
_chemical_formula_sum 'Ca4 Ac4 P4'
_symmetry_space_group_name_H-M 'F -4 3 m'
_symmetry_Int_Tables_number 216
_symmetry_space_group_name_Hall 'F -4 2 3'
_cell_length_a 7.141
_cell_length_b 7.141
_cell_length_c 7.141
_cell_angle_alpha 90.00
_cell_angle_beta 90.00
_cell_angle_gamma 90.00
loop_
_atom_site_label
_atom_site_fract_x
_atom_site_fract_y
_atom_site_fract_z
Ca1 0.000 0.000 0.000
Ac1 0.000 0.000 0.500
P1 0.250 0.250 0.250


No. 11
# CaAc3P (PBE, optimized geometry)
# Raw total energy   -21.964 eV per cell
# DFT formation energy   -43 kJ/mol of atoms
# Magnetization   0.00 μB/f.u.
data_CaAc3P
_chemical_formula_sum 'Ca1 Ac3 P1'
_symmetry_space_group_name_H-M 'P m -3 m'
_symmetry_Int_Tables_number 221
_symmetry_space_group_name_Hall '-P 4 2 3'
_cell_length_a 5.986
_cell_length_b 5.986
_cell_length_c 5.986
_cell_angle_alpha 90.00
_cell_angle_beta 90.00
_cell_angle_gamma 90.00
loop_
_atom_site_label
_atom_site_fract_x
_atom_site_fract_y
_atom_site_fract_z
Ca1 0.000 0.000 0.000
Ac1 0.000 0.500 0.500
P1 0.500 0.500 0.500


No. 12
# CaAcP (PBE, optimized geometry)
# Raw total energy   -27.243 eV per cell
# DFT formation energy   -68 kJ/mol of atoms
# Magnetization   0.00 μB/f.u.
# Energy above the lowest structure with this stoichiometry   0.130 eV/atom
data_CaAcP
_chemical_formula_sum 'Ca2 Ac2 P2'
_symmetry_space_group_name_H-M 'I 4 m m'
_symmetry_Int_Tables_number 107
_symmetry_space_group_name_Hall 'I 4 -2'
_cell_length_a 3.763
_cell_length_b 3.763
_cell_length_c 13.595
_cell_angle_alpha 90.00
_cell_angle_beta 90.00
_cell_angle_gamma 90.00
loop_
_atom_site_label
_atom_site_fract_x
_atom_site_fract_y
_atom_site_fract_z
Ca1 0.000 0.000 0.000
Ac1 0.000 0.000 0.244
P1 0.000 0.000 0.625